Computed, not measured: Mo2OsCl at its PBEsol-relaxed geometry at the SCAN level of DFT.

a = 3.665 Å, b = 3.665 Å, c = 8.917 Å
α = 90.00°, β = 90.00°, γ = 90.00°
Space group I-4m2 (No. 119)
Asymmetric unit:
Mo 0.000 0.000 0.000 (multiplicity 2)
Mo 0.000 0.500 0.250 (multiplicity 2)
Os 0.000 0.000 0.500 (multiplicity 2)
Cl 0.000 0.500 0.750 (multiplicity 2)

Calculated values
The value obtained for the uncorrected formation energy is 1.1367 eV/atom. The magnetic moment comes out at 0.0 μB per formula unit. The calculation puts the relative energy among the computed polymorphs at 260 meV per atom.